This record from Alexandria via LeMat-Bulk describes crystalline Np2MnAs4Rh3 at its relaxed geometry. The functional is PBE.

Cell: 4.228 4.228 10.160 Å, 90.00 90.00 90.00°
Site moments in Bohr magnetons follow the coordinates.
Sites, in units of the cell vectors:
Np1 0.500 0.000 0.244  3.83
Np2 0.000 0.500 0.756  3.83
Rh1 0.000 0.000 0.500  0.02
Rh2 0.500 0.000 0.876  -0.12
Rh3 0.000 0.500 0.124  -0.12
As1 0.000 0.000 0.000  -0.01
As2 0.500 0.000 0.637  -0.07
As3 0.000 0.500 0.363  -0.07
As4 0.500 0.500 0.000  -0.01
Mn1 0.500 0.500 0.500  3.23

Properties
ΔH_f (0 K) in eV/atom: -0.477
Symmetry: P-4m2
DFT total energy in eV/atom: -8.05
Calculated density in g/cm³: 10.397

***

This record from Alexandria via LeMat-Bulk describes crystalline Np2MnAs3Rh4 at its relaxed geometry. The functional is PBE.

Cell: 4.017 4.017 10.993 Å, 90.00 90.00 90.00°
Site moments in Bohr magnetons follow the coordinates.
Sites, in units of the cell vectors:
Np1 0.500 0.000 0.249  3.72
Np2 0.000 0.500 0.751  3.72
Rh1 0.500 0.000 0.646  -0.01
Rh2 0.000 0.000 0.000  0.02
Rh3 0.500 0.500 0.000  0.01
Rh4 0.000 0.500 0.354  -0.01
As1 0.000 0.000 0.500  -0.05
As2 0.000 0.500 0.134  -0.02
As3 0.500 0.000 0.866  -0.02
Mn1 0.500 0.500 0.500  3.57

Properties
ΔH_f (0 K) in eV/atom: -0.486
Symmetry: P-4m2
DFT total energy in eV/atom: -8.33
Calculated density in g/cm³: 10.910

***

This record from Alexandria via LeMat-Bulk describes crystalline NpMnAs2Ru at its relaxed geometry. The functional is PBE.

Cell: 3.878 3.878 6.514 Å, 107.32 107.32 90.00°
Site moments in Bohr magnetons follow the coordinates.
Sites, in units of the cell vectors:
As1 0.621 0.621 0.242  -0.07
As2 0.379 0.379 0.758  -0.07
Mn1 0.750 0.250 0.500  2.87
Np1 0.000 0.000 0.000  3.94
Ru1 0.250 0.750 0.500  0.10

Properties
ΔH_f (0 K) in eV/atom: -0.349
Symmetry: I-4m2
DFT total energy in eV/atom: -8.49
Calculated density in g/cm³: 10.143